1.
! NaAc4Rh2, optimized geometry, DFT GGA-PBE; values from VASP
! DFT total energy in eV per atom: -5.04
! Total magnetization in μB/f.u.: 0.00
! Space group: C2/m
&SYSTEM
  ibrav = 0, nat = 14, ntyp = 3
/
ATOMIC_SPECIES
Na 22.99 Na.upf
Ac 227.00 Ac.upf
Rh 102.91 Rh.upf
CELL_PARAMETERS angstrom
18.3226 0.0000 0.0000
0.0000 4.3664 0.0000
-0.7853 0.0000 7.4953
ATOMIC_POSITIONS angstrom
Na 0.0000 0.0000 0.0000
Na 9.1613 2.1832 0.0000
Ac 2.6538 0.0000 2.9616
Ac 2.3128 2.1832 6.7026
Ac 6.0632 0.0000 0.7926
Ac 5.7223 2.1832 4.5336
Ac 11.8151 2.1832 2.9616
Ac 11.4741 0.0000 6.7026
Ac 15.2245 2.1832 0.7926
Ac 14.8836 0.0000 4.5336
Rh 4.3624 2.1832 1.8911
Rh 4.0136 0.0000 5.6041
Rh 13.5237 0.0000 1.8911
Rh 13.1749 2.1832 5.6041

---

2.
! Pm8YTh2, optimized geometry, DFT GGA-PBE; values from VASP
! DFT total energy in eV per atom: -5.35
! Total magnetization in μB/f.u.: 0.00
! Space group: P-1
&SYSTEM
  ibrav = 0, nat = 11, ntyp = 3
/
ATOMIC_SPECIES
Pm 145.00 Pm.upf
Y 88.91 Y.upf
Th 232.04 Th.upf
CELL_PARAMETERS angstrom
6.3057 0.0000 0.0000
-1.0430 8.0239 0.0000
-2.1030 -2.6947 7.3588
ATOMIC_POSITIONS angstrom
Pm -0.5053 2.7867 1.4028
Pm -0.5105 0.4059 3.9913
Pm -0.4939 -2.1081 6.7143
Pm 0.5511 6.1944 2.0368
Pm 2.6086 -0.8652 5.3220
Pm 3.6537 7.4373 0.6446
Pm 3.6702 4.9233 3.3675
Pm 3.6650 2.5425 5.9560
Y 2.6314 4.0119 0.0000
Th 0.5538 3.7225 4.6792
Th 2.6059 1.6067 2.6797

---

3.
! TmGa2As, optimized geometry, DFT GGA-PBE; values from VASP
! DFT total energy in eV per atom: -4.34
! Total magnetization in μB/f.u.: 0.00
! Space group: P4/mmm
&SYSTEM
  ibrav = 0, nat = 4, ntyp = 3
/
ATOMIC_SPECIES
Tm 168.93 Tm.upf
Ga 69.72 Ga.upf
As 74.92 As.upf
CELL_PARAMETERS angstrom
4.1400 0.0000 0.0000
0.0000 4.1400 0.0000
0.0000 0.0000 4.6185
ATOMIC_POSITIONS angstrom
Tm 0.0000 0.0000 0.0000
Ga 0.0000 2.0700 2.3092
Ga 2.0700 0.0000 2.3092
As 2.0700 2.0700 0.0000

---

4.
! Ba2TaBr, optimized geometry, DFT GGA-PBE; values from VASP
! DFT total energy in eV per atom: -3.83
! Total magnetization in μB/f.u.: 0.32
! Space group: P4mm
! ΔE to the lowest computed polymorph in meV per atom: 400
! E_form (uncorrected) in meV per atom: 511
&SYSTEM
  ibrav = 0, nat = 4, ntyp = 3
/
ATOMIC_SPECIES
Ba 137.33 Ba.upf
Ta 180.95 Ta.upf
Br 79.90 Br.upf
CELL_PARAMETERS angstrom
3.6728 0.0000 0.0000
0.0000 3.6728 0.0000
0.0000 0.0000 11.3244
ATOMIC_POSITIONS angstrom
Ba 0.0000 0.0000 0.0000
Ba 1.8364 1.8364 4.0404
Ta 1.8364 1.8364 9.0346
Br 0.0000 0.0000 5.9377

---

5.
! PmHoPdAu, optimized geometry, DFT GGA-PBE; values from VASP
! DFT total energy in eV per atom: -5.32
! Total magnetization in μB/f.u.: 0.00
! Space group: Amm2
! ΔE to the lowest computed polymorph in meV per atom: 0
&SYSTEM
  ibrav = 0, nat = 8, ntyp = 4
/
ATOMIC_SPECIES
Pm 145.00 Pm.upf
Ho 164.93 Ho.upf
Pd 106.42 Pd.upf
Au 196.97 Au.upf
CELL_PARAMETERS angstrom
4.7256 0.0000 0.0000
0.0000 3.8017 0.0000
0.0000 0.0000 10.7172
ATOMIC_POSITIONS angstrom
Pm 0.0000 0.0000 0.0000
Pm 0.0000 1.9009 5.3586
Ho 2.3628 0.0000 7.7591
Ho 2.3628 1.9009 2.4005
Pd 0.0000 0.0000 2.9255
Pd 0.0000 1.9009 8.2841
Au 2.3628 0.0000 4.7552
Au 2.3628 1.9009 10.1138

---

6.
! CdRe2Pb, optimized geometry, DFT GGA-PBE; values from VASP
! DFT total energy in eV per atom: -6.50
! Total magnetization in μB/f.u.: 0.00
! Space group: C2/m
! ΔE to the lowest computed polymorph in meV per atom: 547
&SYSTEM
  ibrav = 0, nat = 8, ntyp = 3
/
ATOMIC_SPECIES
Cd 112.41 Cd.upf
Re 186.21 Re.upf
Pb 207.20 Pb.upf
CELL_PARAMETERS angstrom
9.8080 0.0000 0.0000
0.0000 3.3978 0.0000
-0.2954 0.0000 5.0593
ATOMIC_POSITIONS angstrom
Cd 0.0000 0.0000 0.0000
Cd 4.9040 1.6989 0.0000
Re 2.2742 1.6989 0.8471
Re 2.3344 0.0000 4.2122
Re 7.1783 0.0000 0.8471
Re 7.2384 1.6989 4.2122
Pb -0.1477 1.6989 2.5296
Pb 4.7563 0.0000 2.5296